(1)
First-principles (GGA-PBE) data for crystalline Ac3AgOs at its relaxed geometry, as listed in the Alexandria database.

```
Ac3AgOs
1.0
5.793 0.000 0.000
0.000 5.793 0.000
0.000 0.000 5.793
Ac Ag Os
3 1 1
Direct
0.000 0.000 0.500
0.000 0.500 0.000
0.500 0.000 0.000
0.500 0.500 0.500
0.000 0.000 0.000
```

Computed properties:
- Space-group type: No. 221
- Total magnetization: 0.00 μB/cell
- ρ: 8.36 g/cm3
- Distance to the lowest polymorph of the same formula: 119 meV per atom
- E_form: 0.061 eV/atom

---

(2)
First-principles (GGA-PBE) data for crystalline YBiTeI2 at its relaxed geometry, as listed in the Alexandria database.

```
YBiTeI2
1.0
5.976 0.000 0.000
0.000 5.976 0.000
0.000 0.000 6.148
Y Bi Te I
1 1 1 2
Direct
0.000 0.000 0.000
0.500 0.500 0.500
0.500 0.500 0.000
0.000 0.500 0.500
0.500 0.000 0.500
```

Computed properties:
- Space-group type: No. 123
- Total magnetization: 0.91 μB/cell
- Raw formation energy: 151 meV per atom
- ρ: 5.14 g/cm3
- Distance to the lowest polymorph of the same formula: 558 meV per atom

---

(3)
First-principles (GGA-PBE) data for crystalline KCuSn2Cl at its relaxed geometry, as listed in the Alexandria database.

```
KCuSn2Cl
1.0
4.850 0.000 0.000
0.000 4.850 0.000
0.000 0.000 8.099
K Cu Sn Cl
1 1 2 1
Direct
0.000 0.000 0.000
0.500 0.500 0.500
0.000 0.500 0.500
0.500 0.000 0.500
0.500 0.500 0.000
```

Computed properties:
- Space-group type: No. 123
- Total magnetization: 0.00 μB/cell
- Raw formation energy: -253 meV per atom
- ρ: 3.27 g/cm3

---

(4)
First-principles (GGA-PBE) data for crystalline Gd2PaTl at its relaxed geometry, as listed in the Alexandria database.

```
Gd2PaTl
1.0
3.477 0.000 0.000
0.000 3.477 0.000
0.000 0.000 9.291
Gd Pa Tl
2 1 1
Direct
0.000 0.000 0.247
0.000 0.000 0.753
0.500 0.500 0.500
0.500 0.500 0.000
```

Computed properties:
- Space-group type: No. 123
- Total magnetization: 13.58 μB/cell
- ρ: 11.09 g/cm3
- Distance to the lowest polymorph of the same formula: 0 meV per atom
- E_form: -0.055 eV/atom

---

(5)
First-principles (GGA-PBE) data for crystalline Er4CoPd at its relaxed geometry, as listed in the Alexandria database.

```
Er4CoPd
1.0
-4.553 4.553 4.016
4.553 -4.553 4.016
4.553 4.553 -4.016
Er Co Pd
8 2 2
Direct
0.196 0.000 0.196
0.221 0.515 0.294
0.221 0.927 0.706
0.265 0.471 0.794
0.677 0.471 0.206
0.750 0.054 0.304
0.750 0.446 0.696
0.804 0.000 0.804
0.237 0.237 0.000
0.987 0.487 0.500
0.481 0.981 0.500
0.731 0.731 0.000
```

Computed properties:
- Space-group type: No. 109
- Total magnetization: 0.00 μB/cell
- ρ: 8.32 g/cm3
- Distance to the lowest polymorph of the same formula: 102 meV per atom
- E_form: -0.297 eV/atom

---

(6)
First-principles (GGA-PBE) data for crystalline HgGeTe3 at its relaxed geometry, as listed in the Alexandria database.

```
HgGeTe3
1.0
4.536 0.000 0.000
-0.004 6.113 0.000
-0.038 -0.749 6.580
Hg Ge Te
1 1 3
Direct
0.000 0.000 0.000
0.507 0.681 0.447
0.004 0.350 0.326
0.007 0.993 0.559
0.501 0.711 0.040
```

Computed properties:
- Space-group type: No. 1
- Total magnetization: 0.00 μB/cell
- Raw formation energy: -2 meV per atom
- ρ: 5.97 g/cm3
- Distance to the lowest polymorph of the same formula: 15 meV per atom

---

(7)
First-principles (GGA-PBE) data for crystalline Sr3P3Pt2 at its relaxed geometry, as listed in the Alexandria database.

```
Sr3P3Pt2
1.0
2.117 -5.592 0.000
2.117 5.592 0.000
0.000 0.000 15.588
Sr P Pt
6 6 4
Direct
0.045 0.955 0.750
0.343 0.657 0.593
0.343 0.657 0.907
0.657 0.343 0.093
0.657 0.343 0.407
0.955 0.045 0.250
0.069 0.931 0.554
0.069 0.931 0.946
0.248 0.752 0.250
0.752 0.248 0.750
0.931 0.069 0.054
0.931 0.069 0.446
0.371 0.629 0.117
0.371 0.629 0.383
0.629 0.371 0.617
0.629 0.371 0.883
```

Computed properties:
- Space-group type: No. 63
- Total magnetization: 0.00 μB/cell
- ρ: 6.71 g/cm3
- E_form: -1.044 eV/atom

---

(8)
First-principles (GGA-PBE) data for crystalline ScPd3S at its relaxed geometry, as listed in the Alexandria database.

```
ScPd3S
1.0
4.519 0.000 0.000
0.000 4.519 0.000
0.000 0.000 4.519
Sc Pd S
1 3 1
Direct
0.000 0.000 0.000
0.000 0.500 0.500
0.500 0.000 0.500
0.500 0.500 0.000
0.500 0.500 0.500
```

Computed properties:
- Space-group type: No. 221
- Total magnetization: 0.00 μB/cell
- Raw formation energy: -379 meV per atom
- ρ: 7.13 g/cm3
- Distance to the lowest polymorph of the same formula: 0 meV per atom

---

(9)
First-principles (GGA-PBE) data for crystalline Th3AsC2 at its relaxed geometry, as listed in the Alexandria database.

```
Th3AsC2
1.0
3.673 0.000 0.000
0.000 10.516 0.000
0.000 0.000 6.707
Th As C
6 2 4
Direct
0.000 0.082 0.000
0.000 0.306 0.610
0.000 0.694 0.110
0.000 0.918 0.500
0.500 0.403 0.087
0.500 0.597 0.587
0.500 0.139 0.349
0.500 0.861 0.849
0.000 0.496 0.355
0.000 0.504 0.855
0.500 0.215 0.855
0.500 0.785 0.355
```

Computed properties:
- Space-group type: No. 26
- Total magnetization: 0.00 μB/cell
- ρ: 10.19 g/cm3
- Distance to the lowest polymorph of the same formula: 43 meV per atom
- E_form: -0.499 eV/atom

---

(10)
First-principles (GGA-PBE) data for crystalline Na2ScCdF8 at its relaxed geometry, as listed in the Alexandria database.

```
Na2ScCdF8
1.0
3.717 0.000 0.000
0.000 5.549 0.000
0.000 0.000 7.552
Na Sc Cd F
2 1 1 8
Direct
0.000 0.000 0.248
0.000 0.000 0.752
0.500 0.500 0.000
0.500 0.500 0.500
0.000 0.259 0.500
0.000 0.283 0.000
0.000 0.717 0.000
0.000 0.741 0.500
0.500 0.272 0.225
0.500 0.272 0.775
0.500 0.728 0.225
0.500 0.728 0.775
```

Computed properties:
- Space-group type: No. 47
- Total magnetization: 1.11 μB/cell
- Raw formation energy: -2752 meV per atom
- ρ: 3.79 g/cm3

---

(11)
First-principles (GGA-PBE) data for crystalline BaMnMo2I at its relaxed geometry, as listed in the Alexandria database.

```
BaMnMo2I
1.0
4.663 0.000 0.000
0.000 4.663 0.000
0.000 0.000 6.832
Ba Mn Mo I
1 1 2 1
Direct
0.000 0.000 0.000
0.000 0.000 0.500
0.000 0.500 0.500
0.500 0.000 0.500
0.500 0.500 0.000
```

Computed properties:
- Space-group type: No. 123
- Total magnetization: 2.89 μB/cell
- Raw formation energy: 925 meV per atom
- ρ: 5.71 g/cm3